Record 1
BeIrW: relaxed, PBE-GGA.

Properties
- Offset from the most stable computed form: 0 meV per atom
- D(E_F): 1.38 states/eV/f.u.
- SG: I4mm, No. 107
- DFT formation energy: -0.917 eV per formula unit

a b c (Å): 5.231 5.231 5.231
angles (deg): 148.79 148.79 44.72
Element x y z (fractional)
Be1 0.000 0.000 0.000
Ir1 0.365 0.365 0.000
W1 0.671 0.671 0.000

=====

Record 2
BeIrW2: relaxed, PBE-GGA.

Properties
- D(E_F): 3.62 states/eV/f.u.
- SG: I-42d, No. 122
- DFT formation energy: 2.468 eV per formula unit

a b c (Å): 9.403 9.403 9.403
angles (deg): 157.29 157.29 32.34
Element x y z (fractional)
Be1 0.000 0.000 0.000
Be2 0.750 0.250 0.500
Ir1 0.250 0.750 0.500
Ir2 0.500 0.500 0.000
W1 0.104 0.625 0.979
W2 0.375 0.354 0.479
W3 0.646 0.125 0.021
W4 0.875 0.896 0.521

=====

Record 3
Be2IrW: relaxed, PBE-GGA.

Properties
- Offset from the most stable computed form: 0 meV per atom
- D(E_F): 1.62 states/eV/f.u.
- SG: P4mm, No. 99
- DFT formation energy: -1.070 eV per formula unit

a b c (Å): 2.799 2.799 6.017
angles (deg): 90.00 90.00 90.00
Element x y z (fractional)
Be1 0.000 0.000 0.000
Be2 0.500 0.500 0.189
Ir1 0.000 0.000 0.411
W1 0.500 0.500 0.722

=====

Record 4
BeIrW2: relaxed, PBE-GGA.

Properties
- D(E_F): 1.83 states/eV/f.u.
- SG: Pmmm, No. 47
- DFT formation energy: -0.154 eV per formula unit

a b c (Å): 2.735 3.937 5.263
angles (deg): 90.00 90.00 90.00
Element x y z (fractional)
Be1 0.000 0.000 0.000
Ir1 0.000 0.000 0.500
W1 0.500 0.500 0.239
W2 0.500 0.500 0.761

=====

Record 5
Be2IrW: relaxed, PBE-GGA.

Properties
- Offset from the most stable computed form: 455 meV per atom
- D(E_F): 2.51 states/eV/f.u.
- SG: R3m, No. 160
- DFT formation energy: 0.751 eV per formula unit

a b c (Å): 8.077 8.077 8.077
angles (deg): 19.60 19.60 19.60
Element x y z (fractional)
Be1 0.000 0.000 0.000
Be2 0.256 0.256 0.256
Ir1 0.512 0.512 0.512
W1 0.753 0.753 0.753

=====

Record 6
Be2IrW: relaxed, PBE-GGA.

Properties
- Offset from the most stable computed form: 295 meV per atom
- D(E_F): 1.62 states/eV/f.u.
- SG: P2/m, No. 10
- DFT formation energy: 0.111 eV per formula unit

a b c (Å): 4.103 2.763 4.621
angles (deg): 90.00 106.56 90.00
Element x y z (fractional)
Be1 0.000 0.000 0.000
Be2 0.000 0.500 0.500
Ir1 0.500 0.000 0.500
W1 0.500 0.500 0.000

=====

Record 7
BeIrW2: relaxed, PBE-GGA.

Properties
- D(E_F): 2.89 states/eV/f.u.
- SG: Pmm2, No. 25
- DFT formation energy: 0.109 eV per formula unit

a b c (Å): 2.793 3.412 5.937
angles (deg): 90.00 90.00 90.00
Element x y z (fractional)
Be1 0.000 0.000 0.000
Ir1 0.500 0.500 0.204
W1 0.000 0.000 0.469
W2 0.500 0.500 0.755

=====

Record 8
Be2IrW: relaxed, PBE-GGA.

Properties
- Offset from the most stable computed form: 225 meV per atom
- D(E_F): 2.22 states/eV/f.u.
- SG: Fm-3m, No. 225
- DFT formation energy: -0.172 eV per formula unit

a b c (Å): 4.039 4.039 4.039
angles (deg): 60.00 60.00 60.00
Element x y z (fractional)
Be1 0.250 0.250 0.250
Be2 0.750 0.750 0.750
Ir1 0.000 0.000 0.000
W1 0.500 0.500 0.500

=====

Record 9
BeIrW2: relaxed, PBE-GGA.

Properties
- D(E_F): 2.59 states/eV/f.u.
- SG: I4/mmm, No. 139
- DFT formation energy: 0.130 eV per formula unit

a b c (Å): 4.946 4.946 4.946
angles (deg): 136.40 136.40 63.36
Element x y z (fractional)
Be1 0.000 0.000 0.000
Ir1 0.500 0.500 0.000
W1 0.250 0.750 0.500
W2 0.750 0.250 0.500

=====

Record 10
Be2IrW: relaxed, PBE-GGA.

Properties
- Offset from the most stable computed form: 134 meV per atom
- D(E_F): 1.43 states/eV/f.u.
- SG: Imm2, No. 44
- DFT formation energy: -0.532 eV per formula unit

a b c (Å): 4.814 4.814 4.814
angles (deg): 145.96 130.17 61.72
Element x y z (fractional)
Be1 0.000 0.000 0.000
Be2 0.783 0.283 0.500
Ir1 0.245 0.745 0.500
W1 0.521 0.521 0.000

=====

Record 11
Be17IrW: relaxed, PBE-GGA.

Properties
- D(E_F): 2.45 states/eV/f.u.
- SG: R3m, No. 160
- DFT formation energy: -3.227 eV per formula unit

a b c (Å): 5.474 5.474 5.474
angles (deg): 83.07 83.07 83.07
Element x y z (fractional)
Be1 0.050 0.050 0.050
Be2 0.150 0.457 0.855
Be3 0.150 0.855 0.457
Be4 0.165 0.165 0.647
Be5 0.165 0.647 0.165
Be6 0.254 0.254 0.254
Be7 0.302 0.804 0.804
Be8 0.457 0.150 0.855
Be9 0.457 0.855 0.150
Be10 0.507 0.507 0.987
Be11 0.507 0.987 0.507
Be12 0.647 0.165 0.165
Be13 0.804 0.302 0.804
Be14 0.804 0.804 0.302
Be15 0.855 0.150 0.457
Be16 0.855 0.457 0.150
Be17 0.987 0.507 0.507
Ir1 0.813 0.813 0.813
W1 0.494 0.494 0.494

=====

Record 12
BeIrW3: relaxed, PBE-GGA.

Properties
- Offset from the most stable computed form: 1594 meV per atom
- D(E_F): 4.77 states/eV/f.u.
- SG: Pm-3m, No. 221
- DFT formation energy: 11.215 eV per formula unit

a b c (Å): 4.739 4.739 4.739
angles (deg): 90.00 90.00 90.00
Element x y z (fractional)
Be1 0.000 0.000 0.000
Ir1 0.500 0.500 0.500
W1 0.000 0.500 0.500
W2 0.500 0.000 0.500
W3 0.500 0.500 0.000

=====

Record 13
Be2IrW: relaxed, PBE-GGA.

Properties
- Offset from the most stable computed form: 308 meV per atom
- D(E_F): 2.05 states/eV/f.u.
- SG: Pmmm, No. 47
- DFT formation energy: 0.162 eV per formula unit

a b c (Å): 2.802 3.953 4.552
angles (deg): 90.00 90.00 90.00
Element x y z (fractional)
Be1 0.000 0.000 0.000
Be2 0.500 0.000 0.500
Ir1 0.000 0.500 0.500
W1 0.500 0.500 0.000

=====

Record 14
Be2IrW: relaxed, PBE-GGA.

Properties
- Offset from the most stable computed form: 577 meV per atom
- D(E_F): 1.88 states/eV/f.u.
- SG: I-42d, No. 122
- DFT formation energy: 1.236 eV per formula unit

a b c (Å): 5.108 5.108 5.108
angles (deg): 104.90 104.90 119.06
Element x y z (fractional)
Be1 0.107 0.625 0.982
Be2 0.375 0.357 0.482
Be3 0.643 0.125 0.018
Be4 0.875 0.893 0.518
Ir1 0.000 0.000 0.000
Ir2 0.750 0.250 0.500
W1 0.250 0.750 0.500
W2 0.500 0.500 0.000

=====

Record 15
BeIrW2: relaxed, PBE-GGA.

Properties
- D(E_F): 2.42 states/eV/f.u.
- SG: R-3m, No. 166
- DFT formation energy: 0.704 eV per formula unit

a b c (Å): 8.789 8.789 8.789
angles (deg): 18.18 18.18 18.18
Element x y z (fractional)
Be1 0.000 0.000 0.000
Ir1 0.500 0.500 0.500
W1 0.253 0.253 0.253
W2 0.747 0.747 0.747

=====

Record 16
BeIrW2: relaxed, PBE-GGA.

Properties
- D(E_F): 2.82 states/eV/f.u.
- SG: Pm, No. 6
- DFT formation energy: -0.273 eV per formula unit

a b c (Å): 2.761 3.992 5.279
angles (deg): 90.00 103.27 90.00
Element x y z (fractional)
Be1 0.000 0.000 0.000
Ir1 0.112 0.500 0.259
W1 0.422 0.500 0.805
W2 0.705 0.000 0.499

=====

Record 17
BeIrW2: relaxed, PBE-GGA.

Properties
- D(E_F): 3.13 states/eV/f.u.
- SG: C2/m, No. 12
- DFT formation energy: 0.338 eV per formula unit

a b c (Å): 4.820 4.820 2.721
angles (deg): 91.38 91.38 114.51
Element x y z (fractional)
Be1 0.000 0.000 0.000
Ir1 0.500 0.500 0.000
W1 0.000 0.500 0.500
W2 0.500 0.000 0.500

=====

Record 18
BeIr4W: relaxed, PBE-GGA.

Properties
- D(E_F): 4.81 states/eV/f.u.
- SG: F-43m, No. 216
- DFT formation energy: 2.907 eV per formula unit

a b c (Å): 5.096 5.096 5.096
angles (deg): 60.00 60.00 60.00
Element x y z (fractional)
Be1 0.000 0.000 0.000
Ir1 0.123 0.626 0.626
Ir2 0.626 0.123 0.626
Ir3 0.626 0.626 0.123
Ir4 0.626 0.626 0.626
W1 0.250 0.250 0.250

=====

Record 19
Be2IrW: relaxed, PBE-GGA.

Properties
- Offset from the most stable computed form: 28 meV per atom
- D(E_F): 1.33 states/eV/f.u.
- SG: Amm2, No. 38
- DFT formation energy: -0.957 eV per formula unit

a b c (Å): 3.715 4.591 4.591
angles (deg): 35.74 90.00 90.00
Element x y z (fractional)
Be1 0.000 0.000 0.000
Be2 0.500 0.135 0.135
Ir1 0.000 0.717 0.717
W1 0.500 0.408 0.408

=====

Record 20
BeIrW2: relaxed, PBE-GGA.

Properties
- D(E_F): 1.83 states/eV/f.u.
- SG: Cm, No. 8
- DFT formation energy: 0.310 eV per formula unit

a b c (Å): 4.628 4.628 4.816
angles (deg): 98.09 98.09 34.35
Element x y z (fractional)
Be1 0.000 0.000 0.000
Ir1 0.740 0.740 0.247
W1 0.249 0.249 0.779
W2 0.487 0.487 0.496